Record 1
This record from Alexandria describes crystalline CoHgP2Cl at its relaxed geometry. The functional is PBE-GGA.

Unit cell a=4.946 b=4.946 c=5.429 alpha=90.00 beta=90.00 gamma=90.00
Sites, in units of the cell vectors:
1 Co 0.000 0.000 0.000
2 Hg 0.500 0.500 0.500
3 P 0.000 0.500 0.500
4 P 0.500 0.000 0.500
5 Cl 0.500 0.500 0.000

Calculated values
* space group: No. 123
* uncorrected energy: -2.56 eV per atom
* energy relative to the lowest polymorph listed for this composition: 1117 meV per atom
* raw formation energy: 1.456 eV/atom

***

Record 2
This record from Alexandria describes crystalline CoHgPbCl6 at its relaxed geometry. The functional is PBE-GGA.

Unit cell a=6.696 b=6.938 c=7.741 alpha=63.43 beta=85.55 gamma=79.95
Sites, in units of the cell vectors:
1 Co 0.000 0.000 0.000
2 Hg 0.500 0.780 0.441
3 Pb 0.000 0.423 0.154
4 Cl 0.153 0.300 0.863
5 Cl 0.249 0.722 0.169
6 Cl 0.275 0.056 0.482
7 Cl 0.726 0.463 0.482
8 Cl 0.751 0.110 0.169
9 Cl 0.847 0.837 0.863

Calculated values
* space group: No. 1
* uncorrected energy: -3.20 eV per atom
* raw formation energy: -0.738 eV/atom

***

Record 3
This record from Alexandria describes crystalline Pr6Co2HgCl3 at its relaxed geometry. The functional is PBE-GGA.

Unit cell a=10.487 b=10.487 c=8.888 alpha=106.27 beta=106.27 gamma=21.96
Sites, in units of the cell vectors:
1 Pr 0.040 0.040 0.284
2 Pr 0.312 0.312 0.418
3 Pr 0.338 0.338 0.875
4 Pr 0.662 0.662 0.125
5 Pr 0.688 0.688 0.582
6 Pr 0.960 0.960 0.716
7 Co 0.173 0.173 0.349
8 Co 0.827 0.827 0.651
9 Hg 0.500 0.500 0.000
10 Cl 0.181 0.181 0.854
11 Cl 0.500 0.500 0.500
12 Cl 0.819 0.819 0.146

Calculated values
* space group: No. 12
* uncorrected energy: -4.90 eV per atom
* raw formation energy: -0.836 eV/atom

***

- Among the records above, which one has the lowest uncorrected energy?
  Pr6Co2HgCl3